# 1
{"formula": "Ta2RuRh", "functional": "meta-GGA SCAN", "state": "single point on PBEsol structure", "vol_a3_per_atom": 15.611, "sg": "Pm (6)", "formation_energy_ev_per_atom": -0.439, "dos_ef_per_ev_fu": 2.89, "lattice_angstrom": [[2.900, 0.000, 0.000], [0.000, 4.480, 0.000], [-0.588, 0.000, 4.806]], "species": ["Ta", "Ta", "Ru", "Rh"], "frac_coords": [[0.000, 0.000, 0.000], [0.149, 0.500, 0.591], [0.617, 0.000, 0.494], [0.537, 0.500, 0.114]]}

---

# 2
{"formula": "Tb2RuRh", "functional": "meta-GGA SCAN", "state": "single point on PBEsol structure", "vol_a3_per_atom": 19.049, "sg": "Fm-3m (225)", "formation_energy_ev_per_atom": -0.691, "dos_ef_per_ev_fu": 1.97, "lattice_angstrom": [[0.000, 3.365, 3.365], [3.365, 0.000, 3.365], [3.365, 3.365, 0.000]], "species": ["Tb", "Tb", "Ru", "Rh"], "frac_coords": [[0.250, 0.250, 0.250], [0.750, 0.750, 0.750], [0.000, 0.000, 0.000], [0.500, 0.500, 0.500]]}

---

# 3
{"formula": "TcRuRh", "functional": "meta-GGA SCAN", "state": "single point on PBEsol structure", "vol_a3_per_atom": 13.550, "e_above_lowest_polymorph_mev_per_atom": 0.0, "sg": "I4mm (107)", "formation_energy_ev_per_atom": -0.024, "dos_ef_per_ev_fu": 2.35, "lattice_angstrom": [[-1.340, 1.340, 5.660], [1.340, -1.340, 5.660], [1.340, 1.340, -5.660]], "species": ["Tc", "Ru", "Rh"], "frac_coords": [[0.000, 0.000, 0.000], [0.661, 0.661, 0.000], [0.333, 0.333, 0.000]]}